The following is a SCAN calculation of a crystal of ZnFe2 relaxed with PBEsol, from Alexandria.

Results
Volume ... 34.4 Å³/f.u.
D(E_F) ... 0.65 states/eV/atom
Calculated formation energy ... -19 meV per atom
Final energy ... -16.610 eV/atom
Magnetic moment ... 4.57 Bohr magnetons per cell

a b c (Å): 4.0202 4.0202 2.4579
angles (deg): 90.00 90.00 120.00
With the nearest neighbours (Å) after each atom.
Space group P-3m1 (No. 164)
Inequivalent atoms, fractional coordinates:
Zn: 0.0000 0.0000 0.0000  2 Zn 2.46, 6 Fe 2.49
Fe: 0.3333 0.6667 0.3707  5 Fe 2.41-2.46, 3 Zn 2.49

The following is a SCAN calculation of a crystal of FeIr2Cl relaxed with PBEsol, from Alexandria.

Results
Volume ... 57.0 Å³/f.u.
D(E_F) ... 0.59 states/eV/atom
Relative energy among the computed polymorphs ... 0.000 eV/atom
Final energy ... -41.486 eV/atom
Magnetic moment ... 4.02 Bohr magnetons per cell
Energy relative to the elements, uncorrected ... 0.590 eV/atom

a b c (Å): 2.7233 4.4421 4.7095
angles (deg): 90.00 90.00 90.00
With the nearest neighbours (Å) after each atom.
Space group Pmmm (No. 47)
Inequivalent atoms, fractional coordinates:
Fe: 0.0000 0.0000 0.0000  4 Ir 2.61, 4 Cl 2.72, 2 Fe 2.72
Ir: 0.0000 0.5000 0.5000  4 Cl 2.61, 6 Ir 2.72
Ir: 0.5000 0.5000 0.0000  4 Fe 2.61, 6 Ir 2.72
Cl: 0.5000 0.0000 0.5000  4 Ir 2.61, 4 Fe 2.72, 2 Cl 2.72

Copy entry 2 word for word.
The following is a SCAN calculation of a crystal of FeIr2Cl relaxed with PBEsol, from Alexandria.

Results
Volume ... 57.0 Å³/f.u.
D(E_F) ... 0.59 states/eV/atom
Relative energy among the computed polymorphs ... 0.000 eV/atom
Final energy ... -41.486 eV/atom
Magnetic moment ... 4.02 Bohr magnetons per cell
Energy relative to the elements, uncorrected ... 0.590 eV/atom

a b c (Å): 2.7233 4.4421 4.7095
angles (deg): 90.00 90.00 90.00
With the nearest neighbours (Å) after each atom.
Space group Pmmm (No. 47)
Inequivalent atoms, fractional coordinates:
Fe: 0.0000 0.0000 0.0000  4 Ir 2.61, 4 Cl 2.72, 2 Fe 2.72
Ir: 0.0000 0.5000 0.5000  4 Cl 2.61, 6 Ir 2.72
Ir: 0.5000 0.5000 0.0000  4 Fe 2.61, 6 Ir 2.72
Cl: 0.5000 0.0000 0.5000  4 Ir 2.61, 4 Fe 2.72, 2 Cl 2.72